Density functional theory data (PBE-GGA) for a relaxed structure of AcThOs.

a b c (Å): 3.6498 3.6498 13.5672
angles (deg): 90.00 90.00 90.00
With the nearest neighbours (Å) after each atom.
Space group I4mm (No. 107)
Asymmetric unit:
Ac1 0.0000 0.0000 0.0000 x2  4 Os 3.32, 1 Th 3.47, 4 Ac 3.65
Th1 0.0000 0.0000 0.2561 x2  4 Os 2.93
Os1 0.0000 0.0000 0.6534 x2  4 Th 2.93

## Properties
The density of states at the Fermi level comes out at 7.8 states/eV/cell. Its total energy is -7.561 eV/atom. The calculation puts the formation energy at 25 meV per atom. The mass density comes out at 11.9 g cm⁻³.



Density functional theory data (PBE-GGA) for a relaxed structure of AcThOs.

a b c (Å): 7.1732 7.1732 7.1732
angles (deg): 90.00 90.00 90.00
With the nearest neighbours (Å) after each atom.
Space group F-43m (No. 216)
Asymmetric unit:
Ac1 0.0000 0.0000 0.0000 x4  4 Os 3.11
Th1 0.0000 0.0000 0.5000 x4  4 Os 3.11
Os1 0.2500 0.2500 0.7500 x4  4 Th 3.11, 4 Ac 3.11

## Properties
The density of states at the Fermi level comes out at 11.8 states/eV/cell. Its total energy is -7.555 eV/atom. The calculation puts the formation energy at 31 meV per atom. The mass density comes out at 11.7 g cm⁻³.



Density functional theory data (PBE-GGA) for a relaxed structure of Ac3ThOs2.

a b c (Å): 17.4077 4.5240 11.9015
angles (deg): 90.00 118.07 90.00
With the nearest neighbours (Å) after each atom.
Space group C2/m (No. 12)
Asymmetric unit:
Ac1 0.0516 0.0000 0.2418 x4  3 Os 3.03-3.09
Ac2 0.1652 0.5000 0.0171 x4  3 Os 3.03-3.12
Ac3 0.2209 0.0000 0.6068 x4  3 Os 3.02-3.25
Th1 0.0763 0.5000 0.6621 x4  4 Os 2.82-2.95
Os1 0.1104 0.5000 0.4420 x4  2 Th 2.88-2.95, 4 Ac 3.02-3.09
Os2 0.1384 0.0000 0.8217 x4  2 Th 2.82, 4 Ac 3.03-3.12

## Properties
The density of states at the Fermi level comes out at 17.4 states/eV/cell. Its total energy is -7.150 eV/atom. The calculation puts the formation energy at -116 meV per atom. The mass density comes out at 10.4 g cm⁻³.



Density functional theory data (PBE-GGA) for a relaxed structure of AcThOs4.

a b c (Å): 7.7948 7.7948 7.7948
angles (deg): 90.00 90.00 90.00
With the nearest neighbours (Å) after each atom.
Space group F-43m (No. 216)
Asymmetric unit:
Ac1 0.0000 0.0000 0.0000 x4  12 Os 3.23, 4 Th 3.38
Th1 0.2500 0.2500 0.2500 x4  12 Os 3.23, 4 Ac 3.38
Os1 0.1247 0.1247 0.6247 x16  6 Os 2.75-2.76

## Properties
The density of states at the Fermi level comes out at 19.1 states/eV/cell. Its total energy is -9.438 eV/atom. The calculation puts the formation energy at -30 meV per atom. The mass density comes out at 17.1 g cm⁻³.



Density functional theory data (PBE-GGA) for a relaxed structure of AcThZnOs.

a b c (Å): 7.3759 7.3759 7.3759
angles (deg): 90.00 90.00 90.00
With the nearest neighbours (Å) after each atom.
Space group F-43m (No. 216)
Asymmetric unit:
Ac1 0.0000 0.0000 0.0000 x4  4 Os 3.19, 4 Zn 3.19
Th1 0.0000 0.0000 0.5000 x4  4 Os 3.19, 4 Zn 3.19
Zn1 0.2500 0.2500 0.7500 x4  4 Ac 3.19, 4 Th 3.19
Os1 0.2500 0.2500 0.2500 x4  4 Ac 3.19, 4 Th 3.19

## Properties
The density of states at the Fermi level comes out at 8.7 states/eV/cell. Its total energy is -6.049 eV/atom. The calculation puts the formation energy at -41 meV per atom. The mass density comes out at 11.8 g cm⁻³.



Density functional theory data (PBE-GGA) for a relaxed structure of Ac6Tl2Os.

a b c (Å): 7.7865 8.0992 13.6186
angles (deg): 90.00 123.53 90.00
With the nearest neighbours (Å) after each atom.
Space group P2_1/c (No. 14)
Asymmetric unit:
Ac1 0.1507 0.0146 0.2486 x4  1 Os 2.91
Ac2 0.2332 0.6951 0.0440 x4  1 Os 2.92
Ac3 0.3489 0.1936 0.0443 x4  1 Os 2.90
Tl1 0.2845 0.0745 0.7552 x4  7 Ac 3.42-3.81
Os1 0.0000 0.0000 0.0000 x2  6 Ac 2.90-2.92

## Properties
The density of states at the Fermi level comes out at 15.4 states/eV/cell. Its total energy is -4.692 eV/atom. The calculation puts the formation energy at -180 meV per atom. The mass density comes out at 9.1 g cm⁻³.



Density functional theory data (PBE-GGA) for a relaxed structure of Ac5TlOs2.

a b c (Å): 8.3754 8.3754 15.0712
angles (deg): 90.00 90.00 90.00
With the nearest neighbours (Å) after each atom.
Space group I4/mcm (No. 140)
Asymmetric unit:
Ac1 0.0000 0.0000 0.0000 x4  4 Os 3.24
Ac2 0.1609 0.3391 0.1278 x16  3 Os 3.06-3.17
Tl1 0.0000 0.0000 0.2500 x4  10 Ac 3.64-3.77
Os1 0.1385 0.3615 0.5000 x8  8 Ac 3.06-3.24, 1 Os 3.28

## Properties
The density of states at the Fermi level comes out at 28.6 states/eV/cell. Its total energy is -5.815 eV/atom. The calculation puts the formation energy at -144 meV per atom. The mass density comes out at 10.8 g cm⁻³.



Density functional theory data (PBE-GGA) for a relaxed structure of Ac3TlOs.

a b c (Å): 13.3853 6.0602 9.6471
angles (deg): 90.00 111.56 90.00
With the nearest neighbours (Å) after each atom.
Space group C2/m (No. 12)
Asymmetric unit:
Ac1 0.1021 0.0000 0.2154 x4  2 Os 2.89-2.96
Ac2 0.1300 0.5000 0.9114 x4  3 Os 3.03
Ac3 0.1586 0.0000 0.6470 x4  1 Os 2.84
Tl1 0.1072 0.5000 0.4555 x4  1 Tl 3.29, 3 Ac 3.48-3.62
Os1 0.1291 0.0000 0.9243 x4  6 Ac 2.84-3.03

## Properties
The density of states at the Fermi level comes out at 14.1 states/eV/cell. Its total energy is -5.321 eV/atom. The calculation puts the formation energy at -137 meV per atom. The mass density comes out at 9.8 g cm⁻³.



Density functional theory data (PBE-GGA) for a relaxed structure of Ac3TlOs.

a b c (Å): 5.7847 5.7847 5.7847
angles (deg): 90.00 90.00 90.00
With the nearest neighbours (Å) after each atom.
Space group Pm-3m (No. 221)
Asymmetric unit:
Ac1 0.0000 0.0000 0.5000 x3  2 Os 2.89
Tl1 0.5000 0.5000 0.5000 x1  12 Ac 4.09
Os1 0.0000 0.0000 0.0000 x1  6 Ac 2.89

## Properties
The density of states at the Fermi level comes out at 4.6 states/eV/cell. Its total energy is -5.259 eV/atom. The calculation puts the formation energy at -75 meV per atom. The mass density comes out at 9.2 g cm⁻³.



Density functional theory data (PBE-GGA) for a relaxed structure of Ac5Tl2Os.

a b c (Å): 9.0238 13.1831 4.9169
angles (deg): 90.00 90.00 90.00
With the nearest neighbours (Å) after each atom.
Space group Pbam (No. 55)
Asymmetric unit:
Ac1 0.0000 0.0000 0.0000 x2  4 Tl 3.39
Ac2 0.1401 0.3011 0.0000 x4  1 Os 2.91
Ac3 0.1787 0.5688 0.5000 x4  2 Os 3.08
Tl1 0.0732 0.8298 0.5000 x4  7 Ac 3.39-3.59
Os1 0.0000 0.5000 0.0000 x2  6 Ac 2.91-3.08

## Properties
The density of states at the Fermi level comes out at 17.2 states/eV/cell. Its total energy is -4.795 eV/atom. The calculation puts the formation energy at -231 meV per atom. The mass density comes out at 9.8 g cm⁻³.



Density functional theory data (PBE-GGA) for a relaxed structure of Ac7Tl2Os.

a b c (Å): 16.5789 9.8959 11.3309
angles (deg): 90.00 125.58 90.00
With the nearest neighbours (Å) after each atom.
Space group C2/c (No. 15)
Asymmetric unit:
Ac1 0.0000 0.0485 0.2500 x4  4 Tl 3.43-3.82
Ac2 0.0808 0.3337 0.0985 x8  1 Os 3.19
Ac3 0.1444 0.2906 0.8009 x8  1 Os 2.95
Ac4 0.1866 0.3859 0.5041 x8  1 Os 2.96
Tl1 0.1630 0.0223 0.6201 x8  8 Ac 3.43-3.82
Os1 0.0000 0.4991 0.7500 x4  6 Ac 2.95-3.19

## Properties
The density of states at the Fermi level comes out at 44.6 states/eV/cell. Its total energy is -4.585 eV/atom. The calculation puts the formation energy at -113 meV per atom. The mass density comes out at 9.6 g cm⁻³.



Density functional theory data (PBE-GGA) for a relaxed structure of Ac6TlOs2.

a b c (Å): 10.2936 10.7467 11.1566
angles (deg): 90.00 90.00 90.00
With the nearest neighbours (Å) after each atom.
Space group Immm (No. 71)
Asymmetric unit:
Ac1 0.0000 0.2057 0.2357 x8  1 Os 2.95
Ac2 0.1828 0.5000 0.1700 x8  3 Os 3.07-3.23
Ac3 0.2173 0.3179 0.5000 x8  3 Os 3.23-3.32, 1 Tl 3.51
Tl1 0.0000 0.0000 0.0000 x2  8 Ac 3.44-3.51, 2 Os 3.56
Tl2 0.0000 0.0000 0.5000 x2  12 Ac 3.69-4.08
Os1 0.0000 0.3312 0.0000 x4  6 Ac 2.95-3.23
Os2 0.0000 0.5000 0.3877 x4  1 Os 2.51

## Properties
The density of states at the Fermi level comes out at 30.2 states/eV/cell. Its total energy is -5.610 eV/atom. The calculation puts the formation energy at -113 meV per atom. The mass density comes out at 10.5 g cm⁻³.



Density functional theory data (PBE-GGA) for a relaxed structure of Ac6Tl5Os.

a b c (Å): 10.1683 16.7686 5.6430
angles (deg): 90.00 123.60 90.00
With the nearest neighbours (Å) after each atom.
Space group C2/m (No. 12)
Asymmetric unit:
Ac1 0.2137 0.0000 0.2145 x4  2 Os 3.35-3.36, 1 Ac 3.62, 6 Tl 3.63-3.72
Ac2 0.2253 0.1512 0.7255 x8  1 Os 3.17, 4 Tl 3.44-3.53
Tl1 0.0000 0.1901 0.0000 x4  8 Ac 3.46-3.67, 2 Tl 3.76
Tl2 0.0000 0.3387 0.5000 x4  8 Ac 3.63-3.68, 4 Tl 3.76-3.91
Tl3 0.0000 0.5000 0.0000 x2  8 Ac 3.44-3.72
Os1 0.0000 0.0000 0.5000 x2  8 Ac 3.17-3.36

## Properties
The density of states at the Fermi level comes out at 17.3 states/eV/cell. Its total energy is -4.227 eV/atom. The calculation puts the formation energy at -251 meV per atom. The mass density comes out at 10.7 g cm⁻³.



Density functional theory data (PBE-GGA) for a relaxed structure of Ac12Tl6Os.

a b c (Å): 13.3519 13.3519 14.8751
angles (deg): 90.00 90.00 120.00
With the nearest neighbours (Å) after each atom.
Space group R-3 (No. 148, hexagonal axes)
Asymmetric unit:
Ac1 0.0324 0.1930 0.3900 x18  4 Tl 3.41-3.49
Ac2 0.0365 0.8450 0.8838 x18  1 Os 2.92
Tl1 0.0109 0.3982 0.2589 x18  8 Ac 3.40-3.73
Os1 0.0000 0.0000 0.0000 x3  6 Ac 2.92

## Properties
The density of states at the Fermi level comes out at 60.8 states/eV/cell. Its total energy is -4.096 eV/atom. The calculation puts the formation energy at -163 meV per atom. The mass density comes out at 9.0 g cm⁻³.



Density functional theory data (PBE-GGA) for a relaxed structure of AcTm2Os.

a b c (Å): 3.4656 3.4656 9.3608
angles (deg): 90.00 90.00 90.00
With the nearest neighbours (Å) after each atom.
Space group P4/mmm (No. 123)
Asymmetric unit:
Ac1 0.0000 0.0000 0.0000 x1  4 Ac 3.47
Tm1 0.5000 0.5000 0.3299 x2  4 Os 2.92, 1 Tm 3.18
Os1 0.0000 0.0000 0.5000 x1  8 Tm 2.92

## Properties
The density of states at the Fermi level comes out at 2.9 states/eV/cell. Its total energy is -6.211 eV/atom. The calculation puts the formation energy at -141 meV per atom. The mass density comes out at 11.2 g cm⁻³.



Density functional theory data (PBE-GGA) for a relaxed structure of AcTm3Os.

a b c (Å): 5.4323 5.4323 5.4323
angles (deg): 90.00 90.00 90.00
With the nearest neighbours (Å) after each atom.
Space group Pm-3m (No. 221)
Asymmetric unit:
Ac1 0.0000 0.0000 0.0000 x1  12 Tm 3.84
Tm1 0.0000 0.5000 0.5000 x3  2 Os 2.72
Os1 0.5000 0.5000 0.5000 x1  6 Tm 2.72

## Properties
The density of states at the Fermi level comes out at 6.4 states/eV/cell. Its total energy is -5.831 eV/atom. The calculation puts the formation energy at -81 meV per atom. The mass density comes out at 9.6 g cm⁻³.



Density functional theory data (PBE-GGA) for a relaxed structure of AcTm2Os.

a b c (Å): 4.0951 4.0951 26.5580
angles (deg): 90.00 90.00 120.00
With the nearest neighbours (Å) after each atom.
Space group R-3m (No. 166, hexagonal axes)
Asymmetric unit:
Ac1 0.0000 0.0000 0.0000 x3  6 Tm 3.88, 6 Ac 4.10
Tm1 0.0000 0.0000 0.2176 x6  3 Os 2.72
Os1 0.0000 0.0000 0.5000 x3  6 Tm 2.72

## Properties
The density of states at the Fermi level comes out at 9.1 states/eV/cell. Its total energy is -6.024 eV/atom. The calculation puts the formation energy at 46 meV per atom. The mass density comes out at 9.8 g cm⁻³.



Density functional theory data (PBE-GGA) for a relaxed structure of AcTmZnOs.

a b c (Å): 7.2187 7.2187 7.2187
angles (deg): 90.00 90.00 90.00
With the nearest neighbours (Å) after each atom.
Space group F-43m (No. 216)
Asymmetric unit:
Ac1 0.0000 0.0000 0.0000 x4  4 Os 3.13, 4 Zn 3.13
Tm1 0.0000 0.0000 0.5000 x4  4 Zn 3.13, 4 Os 3.13
Zn1 0.2500 0.2500 0.2500 x4  4 Ac 3.13, 4 Tm 3.13
Os1 0.2500 0.2500 0.7500 x4  4 Ac 3.13, 4 Tm 3.13

## Properties
The density of states at the Fermi level comes out at 16.5 states/eV/cell. Its total energy is -5.326 eV/atom. The calculation puts the formation energy at -55 meV per atom. The mass density comes out at 11.5 g cm⁻³.



Density functional theory data (PBE-GGA) for a relaxed structure of AcUOs4.

a b c (Å): 7.6932 7.6932 7.6932
angles (deg): 90.00 90.00 90.00
With the nearest neighbours (Å) after each atom.
Space group F-43m (No. 216)
Asymmetric unit:
Ac1 0.0000 0.0000 0.0000 x4  12 Os 3.19, 4 U 3.33
U1 0.2500 0.2500 0.2500 x4  12 Os 3.19, 4 Ac 3.33
Os1 0.1243 0.1243 0.6243 x16  6 Os 2.71-2.73

## Properties
The density of states at the Fermi level comes out at 32.2 states/eV/cell. Its total energy is -9.946 eV/atom. The calculation puts the formation energy at 106 meV per atom. The mass density comes out at 17.9 g cm⁻³.



Density functional theory data (PBE-GGA) for a relaxed structure of Ac2UOs2.

a b c (Å): 4.4411 4.4411 29.1353
angles (deg): 90.00 90.00 120.00
With the nearest neighbours (Å) after each atom.
Space group R-3m (No. 166, hexagonal axes)
Asymmetric unit:
Ac1 0.0000 0.0000 0.0741 x6  4 Os 3.19-3.50
U1 0.0000 0.0000 0.5000 x3  6 Os 2.69
Os1 0.0000 0.0000 0.1941 x6  3 U 2.69

## Properties
The density of states at the Fermi level comes out at 16.7 states/eV/cell. Its total energy is -8.484 eV/atom. The calculation puts the formation energy at -91 meV per atom. The mass density comes out at 10.7 g cm⁻³.



Density functional theory data (PBE-GGA) for a relaxed structure of AcVOs.

a b c (Å): 7.1372 4.1191 11.0287
angles (deg): 90.00 102.72 90.00
With the nearest neighbours (Å) after each atom.
Space group C2/m (No. 12)
Asymmetric unit:
Ac1 0.1111 0.0000 0.3274 x4  3 Os 3.08
V1 0.1954 0.5000 0.0844 x4  4 Os 2.47
Os1 0.1172 0.5000 0.8545 x4  4 V 2.47

## Properties
The density of states at the Fermi level comes out at 13.1 states/eV/cell. Its total energy is -8.013 eV/atom. The calculation puts the formation energy at 139 meV per atom. The mass density comes out at 9.8 g cm⁻³.



Density functional theory data (PBE-GGA) for a relaxed structure of Ac3YOs.

a b c (Å): 6.3047 6.5339 10.1680
angles (deg): 86.78 80.19 61.71
With the nearest neighbours (Å) after each atom.
Space group P-1 (No. 2)
Asymmetric unit:
Ac1 0.0004 0.0845 0.2966 x2  1 Os 3.11
Ac2 0.2812 0.2356 0.8928 x2  1 Os 2.93
Ac3 0.3708 0.4398 0.1959 x2  2 Os 2.94-3.05
Y1 0.3435 0.3028 0.5329 x2  3 Ac 3.49-3.87, 2 Y 3.53-3.89
Os1 0.1575 0.7930 0.9827 x2  1 Os 2.48

## Properties
The density of states at the Fermi level comes out at 13.7 states/eV/cell. Its total energy is -5.880 eV/atom. The calculation puts the formation energy at 123 meV per atom. The mass density comes out at 8.8 g cm⁻³.



Density functional theory data (PBE-GGA) for a relaxed structure of AcY2Os.

a b c (Å): 4.0653 12.7807 9.1949
angles (deg): 90.00 90.00 90.00
With the nearest neighbours (Å) after each atom.
Space group Cmcm (No. 63)
Asymmetric unit:
Ac1 0.0000 0.0709 0.2500 x4  2 Os 3.03
Y1 0.0000 0.3462 0.0696 x8  3 Os 2.92-3.17
Os1 0.0000 0.2534 0.7500 x4  6 Y 2.92-3.17, 2 Ac 3.03

## Properties
The density of states at the Fermi level comes out at 18.5 states/eV/cell. Its total energy is -7.204 eV/atom. The calculation puts the formation energy at -137 meV per atom. The mass density comes out at 8.3 g cm⁻³.